(1)
## TbNdRuRh (PBE)

Data for a relaxed TbNdRuRh crystal.

Cell: 4.9203 4.9203 4.9203 Å, 60.00 60.00 60.00°
Closest atoms and distances in Å follow each position.
Positions (direct):
Tb: 0.0000 0.0000 0.0000  4 Rh 3.01, 4 Ru 3.01
Nd: 0.5000 0.5000 0.5000  4 Rh 3.01, 4 Ru 3.01
Ru: 0.2500 0.2500 0.2500  4 Tb 3.01, 4 Nd 3.01
Rh: 0.7500 0.7500 0.7500  4 Tb 3.01, 4 Nd 3.01

Computed properties:
For the total energy, the calculation gives -6.967 eV per atom. The space-group type is F-43m, No. 216. Its spin magnetization is 0.00 μB per formula unit. Its formation energy is -0.460 eV per atom. As for the crystal system: cubic.



(2)
## Pm6Ir2CCl3 (PBE)

Data for a relaxed Pm6Ir2CCl3 crystal.

Cell: 6.9994 6.9994 7.6633 Å, 98.26 98.26 120.19°
Closest atoms and distances in Å follow each position.
Positions (direct):
Pm: 0.0609 0.3709 0.1951  1 C 2.60, 2 Ir 2.80-2.81
Pm: 0.2537 0.2537 0.8039  1 C 2.63, 2 Ir 2.81
Pm: 0.3709 0.0609 0.1951  1 C 2.60, 2 Ir 2.80-2.81
Pm: 0.6291 0.9391 0.8049  1 C 2.60, 2 Ir 2.80-2.81
Pm: 0.7463 0.7463 0.1961  1 C 2.63, 2 Ir 2.81
Pm: 0.9391 0.6291 0.8049  1 C 2.60, 2 Ir 2.80-2.81
Ir: 0.3320 0.6680 0.0000  6 Pm 2.80-2.81
Ir: 0.6680 0.3320 0.0000  6 Pm 2.80-2.81
C: 0.0000 0.0000 0.0000  6 Pm 2.60-2.63
Cl: 0.1532 0.8468 0.5000  4 Pm 3.10-3.12
Cl: 0.5000 0.5000 0.5000  6 Pm 3.20-3.27
Cl: 0.8468 0.1532 0.5000  4 Pm 3.10-3.12

Computed properties:
For the total energy, the calculation gives -6.168 eV per atom. The space-group type is C2/m, No. 12. Its spin magnetization is 0.00 μB per formula unit. As for the crystal system: monoclinic.



(3)
## Tl2BrF (PBE)

Data for a relaxed Tl2BrF crystal.

Cell: 5.3834 5.3834 5.3834 Å, 60.00 60.00 60.00°
Closest atoms and distances in Å follow each position.
Positions (direct):
Tl: 0.2500 0.2500 0.2500  4 F 3.30, 4 Br 3.30
Tl: 0.7500 0.7500 0.7500  4 F 3.30, 4 Br 3.30
Br: 0.0000 0.0000 0.0000  8 Tl 3.30
F: 0.5000 0.5000 0.5000  8 Tl 3.30

Computed properties:
For the total energy, the calculation gives -3.192 eV per atom. The calculation puts the energy above the most stable polymorph in this dataset at 161 meV/atom. The space-group type is Fm-3m, No. 225. Its spin magnetization is 0.00 μB per formula unit. As for the crystal system: cubic.



(4)
## HgH3Rh (PBE)

Data for a relaxed HgH3Rh crystal.

Cell: 4.5503 4.8148 5.5797 Å, 90.00 106.96 90.00°
Closest atoms and distances in Å follow each position.
Positions (direct):
Hg: 0.1240 0.2500 0.4097  1 H 2.19
Hg: 0.8760 0.7500 0.5903  1 H 2.19
H: 0.2374 0.5133 0.0030  1 Rh 1.68
H: 0.2374 0.9867 0.0030  1 Rh 1.68
H: 0.4037 0.7500 0.3446  1 Rh 1.61
H: 0.5963 0.2500 0.6554  1 Rh 1.61
H: 0.7626 0.0133 0.9970  1 Rh 1.68
H: 0.7626 0.4867 0.9970  1 Rh 1.68
Rh: 0.0703 0.7500 0.1420  3 H 1.61-1.68
Rh: 0.9297 0.2500 0.8580  3 H 1.61-1.68

Computed properties:
For the total energy, the calculation gives -3.389 eV per atom. The calculation puts the energy above the most stable polymorph in this dataset at 0 meV/atom. The space-group type is P2_1/m, No. 11. Its spin magnetization is 0.00 μB per formula unit. As for the crystal system: monoclinic.



(5)
## La2Pr3TmSe6 (PBE)

Data for a relaxed La2Pr3TmSe6 crystal.

Cell: 9.4727 9.4727 8.5579 Å, 102.95 102.95 25.69°
Closest atoms and distances in Å follow each position.
Positions (direct):
La: 0.1666 0.1666 0.3348  6 Se 3.01-3.04
La: 0.8334 0.8334 0.6652  6 Se 3.01-3.04
Pr: 0.1708 0.1708 0.8351  6 Se 2.99-3.06
Pr: 0.5000 0.5000 0.5000  6 Se 2.99-3.10
Pr: 0.8292 0.8292 0.1649  6 Se 2.99-3.06
Tm: 0.5000 0.5000 0.0000  6 Se 2.86-2.90
Se: 0.0025 0.0025 0.7677  2 Tm 2.90, 3 Pr 3.03-3.10, 1 La 3.04
Se: 0.3339 0.3339 0.4151  3 Pr 2.99, 3 La 3.01
Se: 0.3412 0.3412 0.9213  1 Tm 2.86, 3 Pr 3.01-3.06, 2 La 3.02
Se: 0.6588 0.6588 0.0787  1 Tm 2.86, 3 Pr 3.01-3.06, 2 La 3.02
Se: 0.6661 0.6661 0.5849  3 Pr 2.99, 3 La 3.01
Se: 0.9975 0.9975 0.2323  2 Tm 2.90, 3 Pr 3.03-3.10, 1 La 3.04

Computed properties:
For the total energy, the calculation gives -5.995 eV per atom. The space-group type is C2/m, No. 12. Its spin magnetization is 0.00 μB per formula unit. As for the crystal system: monoclinic.



(6)
## CsLi3Hg3 (PBE)

Data for a relaxed CsLi3Hg3 crystal.

Cell: 7.6473 7.6473 7.6473 Å, 90.00 90.00 90.00°
Closest atoms and distances in Å follow each position.
Positions (direct):
Cs: 0.0000 0.0000 0.0000  12 Hg 4.27, 12 Li 4.27
Cs: 0.5000 0.5000 0.5000  12 Hg 4.27, 12 Li 4.27
Li: 0.0000 0.2500 0.5000  4 Hg 2.70
Li: 0.0000 0.7500 0.5000  4 Hg 2.70
Li: 0.2500 0.5000 0.0000  4 Hg 2.70
Li: 0.5000 0.0000 0.2500  4 Hg 2.70
Li: 0.5000 0.0000 0.7500  4 Hg 2.70
Li: 0.7500 0.5000 0.0000  4 Hg 2.70
Hg: 0.0000 0.5000 0.2500  4 Li 2.70
Hg: 0.0000 0.5000 0.7500  4 Li 2.70
Hg: 0.2500 0.0000 0.5000  4 Li 2.70
Hg: 0.5000 0.2500 0.0000  4 Li 2.70
Hg: 0.5000 0.7500 0.0000  4 Li 2.70
Hg: 0.7500 0.0000 0.5000  4 Li 2.70

Computed properties:
For the total energy, the calculation gives -1.176 eV per atom. The space-group type is Pm-3n, No. 223. Its spin magnetization is 0.00 μB per formula unit. Its formation energy is -0.105 eV per atom. As for the crystal system: cubic.



(7)
## Cu2SiOs (PBE)

Data for a relaxed Cu2SiOs crystal.

Cell: 2.6647 3.9150 5.0036 Å, 90.00 90.00 90.00°
Closest atoms and distances in Å follow each position.
Positions (direct):
Cu: 0.0000 0.0000 0.2495  4 Cu 2.50-2.66, 4 Si 2.68, 4 Os 2.68
Cu: 0.0000 0.0000 0.7505  4 Cu 2.50-2.66, 4 Si 2.68, 4 Os 2.68
Si: 0.5000 0.5000 0.0000  2 Os 2.50, 2 Si 2.66, 8 Cu 2.68
Os: 0.5000 0.5000 0.5000  2 Si 2.50, 2 Os 2.66, 8 Cu 2.68

Computed properties:
For the total energy, the calculation gives -5.971 eV per atom. The space-group type is Pmmm, No. 47. Its spin magnetization is 0.00 μB per formula unit. As for the crystal system: orthorhombic.



(8)
## MgGeRh3 (PBE)

Data for a relaxed MgGeRh3 crystal.

Cell: 4.5404 4.5404 4.5404 Å, 90.00 90.00 90.00°
Closest atoms and distances in Å follow each position.
Positions (direct):
Mg: 0.0000 0.0000 0.0000  12 Rh 3.21
Ge: 0.5000 0.5000 0.5000  6 Rh 2.27
Rh: 0.0000 0.5000 0.5000  2 Ge 2.27
Rh: 0.5000 0.0000 0.5000  2 Ge 2.27
Rh: 0.5000 0.5000 0.0000  2 Ge 2.27

Computed properties:
For the total energy, the calculation gives -5.503 eV per atom. The calculation puts the energy above the most stable polymorph in this dataset at 506 meV/atom. The space-group type is Pm-3m, No. 221. Its spin magnetization is 0.00 μB per formula unit. Its formation energy is 0.150 eV per atom. As for the crystal system: cubic.



(9)
## LiTlSnBr4 (PBE)

Data for a relaxed LiTlSnBr4 crystal.

Cell: 7.1876 7.6531 8.9460 Å, 90.00 107.67 90.00°
Closest atoms and distances in Å follow each position.
Positions (direct):
Li: 0.2412 0.2500 0.3193  4 Br 2.49-2.52
Li: 0.7588 0.7500 0.6807  4 Br 2.49-2.52
Tl: 0.2319 0.7500 0.0529  6 Br 3.24-3.50
Tl: 0.7681 0.2500 0.9471  6 Br 3.24-3.50
Sn: 0.2155 0.7500 0.5447  6 Br 2.87-3.21
Sn: 0.7845 0.2500 0.4553  6 Br 2.87-3.21
Br: 0.0035 0.5011 0.2758  1 Li 2.52
Br: 0.0035 0.9989 0.2758  1 Li 2.52
Br: 0.4655 0.2500 0.1551  1 Li 2.49
Br: 0.4710 0.2500 0.5921  1 Li 2.50
Br: 0.5290 0.7500 0.4079  1 Li 2.50
Br: 0.5345 0.7500 0.8449  1 Li 2.49
Br: 0.9965 0.0011 0.7242  1 Li 2.52
Br: 0.9965 0.4989 0.7242  1 Li 2.52

Computed properties:
For the total energy, the calculation gives -3.124 eV per atom. The space-group type is P2_1/m, No. 11. Its spin magnetization is 0.00 μB per formula unit. As for the crystal system: monoclinic.



(10)
## La2CrCd (PBE)

Data for a relaxed La2CrCd crystal.

Cell: 6.7862 6.7862 6.7862 Å, 102.34 102.34 124.93°
Closest atoms and distances in Å follow each position.
Positions (direct):
La: 0.0896 0.6250 0.9646  2 Cr 2.91, 2 La 3.19
La: 0.3750 0.3396 0.4646  2 Cr 2.91, 2 La 3.19
La: 0.6604 0.1250 0.0354  2 Cr 2.91, 2 La 3.19
La: 0.8750 0.9104 0.5354  2 Cr 2.91, 2 La 3.19
Cr: 0.0000 0.0000 0.0000  4 La 2.91, 2 Cd 3.14
Cr: 0.7500 0.2500 0.5000  4 La 2.91, 2 Cd 3.14
Cd: 0.2500 0.7500 0.5000  2 Cr 3.14, 4 La 3.32
Cd: 0.5000 0.5000 0.0000  2 Cr 3.14, 4 La 3.32

Computed properties:
For the total energy, the calculation gives -4.710 eV per atom. The space-group type is I-42d, No. 122. Its spin magnetization is 3.30 μB per formula unit. Its formation energy is 0.389 eV per atom. As for the crystal system: tetragonal.